{"formula": "Cr3Cd", "functional": "GGA-PBEsol", "state": "optimized geometry", "ef_ev_per_atom": 0.5112, "vol_a3_per_cell": 54.11, "dft_energy_ev_per_cell": -29.9, "e_above_lowest_polymorph_mev_per_atom": 0, "lattice_angstrom": [[-1.516, -2.219, -0.614], [1.235, -2.354, -0.728], [0.119, -3.851, 7.438]], "species": ["Cd", "Cr", "Cr", "Cr"], "fractional_positions": [[0.000, 0.000, 0.000], [0.236, 0.236, 0.292], [0.500, 0.500, 0.500], [0.764, 0.764, 0.708]]}